No. 1
A geometry-optimized Pa2HgB structure. Source: Alexandria, functional PBE.

a = 3.3646 Å, b = 3.3646 Å, c = 9.9563 Å
α = 80.27°, β = 80.27°, γ = 60.00°
Sites, in units of the cell vectors:
B: 0.5000 0.5000 0.5000
Pa: 0.1144 0.1144 0.6567
Pa: 0.8856 0.8856 0.3433
Hg: 0.0000 0.0000 0.0000

Results
ΔE_f = 0.117 eV per atom
V = 95.73 Å³ per cell
Crystal system = trigonal
Electronic total energy = -6.376 eV per atom

***

No. 2
A geometry-optimized Hg3BPb structure. Source: Alexandria, functional PBE.

a = 5.9527 Å, b = 5.9527 Å, c = 5.9527 Å
α = 90.00°, β = 90.00°, γ = 90.00°
Sites, in units of the cell vectors:
Pb: 0.0000 0.0000 0.0000
B: 0.5000 0.5000 0.5000
Hg: 0.0000 0.5000 0.0000
Hg: 0.0000 0.0000 0.5000
Hg: 0.5000 0.0000 0.0000

Results
ΔE_f = 1.298 eV per atom
V = 210.94 Å³ per cell
Crystal system = cubic
Energy above the lowest structure with this stoichiometry = 720 meV per atom
Electronic total energy = -0.960 eV per atom

***

No. 3
A geometry-optimized HgB2Pb2 structure. Source: Alexandria, functional PBE.

a = 4.8144 Å, b = 4.8144 Å, c = 5.6255 Å
α = 64.66°, β = 64.66°, γ = 90.00°
Sites, in units of the cell vectors:
Pb: 0.7500 0.2500 0.5000
Pb: 0.2500 0.7500 0.5000
B: 0.4084 0.4084 0.1833
B: 0.5916 0.5916 0.8167
Hg: 0.0000 0.0000 0.0000

Results
ΔE_f = 0.870 eV per atom
V = 103.81 Å³ per cell
Crystal system = tetragonal
Energy above the lowest structure with this stoichiometry = 0 meV per atom
Electronic total energy = -3.345 eV per atom

***

No. 4
A geometry-optimized Hg3BPb structure. Source: Alexandria, functional PBE.

a = 4.8649 Å, b = 4.8649 Å, c = 4.8649 Å
α = 90.00°, β = 90.00°, γ = 90.00°
Sites, in units of the cell vectors:
Pb: 0.5000 0.5000 0.5000
B: 0.0000 0.0000 0.0000
Hg: 0.0000 0.5000 0.0000
Hg: 0.0000 0.0000 0.5000
Hg: 0.5000 0.0000 0.0000

Results
ΔE_f = 0.578 eV per atom
V = 115.14 Å³ per cell
Crystal system = cubic
Energy above the lowest structure with this stoichiometry = 0 meV per atom
Electronic total energy = -1.680 eV per atom

***

No. 5
A geometry-optimized HgB3Pb structure. Source: Alexandria, functional PBE.

a = 4.5064 Å, b = 4.5064 Å, c = 4.5064 Å
α = 90.00°, β = 90.00°, γ = 90.00°
Sites, in units of the cell vectors:
Pb: 0.5000 0.5000 0.5000
B: 0.0000 0.5000 0.0000
B: 0.0000 0.0000 0.5000
B: 0.5000 0.0000 0.0000
Hg: 0.0000 0.0000 0.0000

Results
ΔE_f = 2.106 eV per atom
V = 91.51 Å³ per cell
Crystal system = cubic
Energy above the lowest structure with this stoichiometry = 0 meV per atom
Electronic total energy = -2.702 eV per atom

***

No. 6
A geometry-optimized HgB2Pb structure. Source: Alexandria, functional PBE.

a = 4.6394 Å, b = 4.6394 Å, c = 7.6254 Å
α = 72.29°, β = 72.29°, γ = 90.00°
Sites, in units of the cell vectors:
Pb: 0.0000 0.0000 0.0000
Pb: 0.7500 0.2500 0.5000
B: 0.5693 0.1250 0.2500
B: 0.1807 0.6250 0.2500
B: 0.3750 0.4307 0.7500
B: 0.8750 0.8193 0.7500
Hg: 0.5000 0.5000 0.0000
Hg: 0.2500 0.7500 0.5000

Results
ΔE_f = 1.314 eV per atom
V = 148.16 Å³ per cell
Crystal system = tetragonal
Energy above the lowest structure with this stoichiometry = 0 meV per atom
Electronic total energy = -3.027 eV per atom

***

No. 7
A geometry-optimized Hg2BPb structure. Source: Alexandria, functional PBE.

a = 5.0848 Å, b = 5.0848 Å, c = 5.0848 Å
α = 60.00°, β = 60.00°, γ = 60.00°
Sites, in units of the cell vectors:
Pb: 0.5000 0.5000 0.5000
B: 0.0000 0.0000 0.0000
Hg: 0.2500 0.2500 0.2500
Hg: 0.7500 0.7500 0.7500

Results
ΔE_f = 1.040 eV per atom
V = 92.96 Å³ per cell
Crystal system = cubic
Energy above the lowest structure with this stoichiometry = 349 meV per atom
Electronic total energy = -1.708 eV per atom

***

No. 8
A geometry-optimized HgB2Pb2 structure. Source: Alexandria, functional PBE.

a = 7.0126 Å, b = 7.0126 Å, c = 4.1584 Å
α = 90.00°, β = 90.00°, γ = 90.00°
Sites, in units of the cell vectors:
Pb: 0.1904 0.6904 0.5000
Pb: 0.6904 0.8096 0.5000
Pb: 0.8096 0.3096 0.5000
Pb: 0.3096 0.1904 0.5000
B: 0.4191 0.9191 0.0000
B: 0.9191 0.5809 0.0000
B: 0.5809 0.0809 0.0000
B: 0.0809 0.4191 0.0000
Hg: 0.0000 0.0000 0.0000
Hg: 0.5000 0.5000 0.0000

Results
ΔE_f = 0.876 eV per atom
V = 204.49 Å³ per cell
Crystal system = tetragonal
Energy above the lowest structure with this stoichiometry = 7 meV per atom
Electronic total energy = -3.338 eV per atom